MgWClO2 after structural relaxation, computed with PBE+U.

- Volume: 17.572 Å³ per atom
- Total energy: -0.2360 Ry per atom

Lattice parameters (Å, degrees): 4.3160 4.7165 4.3160 90.00 90.00 90.00
Last column: nearest neighbours and their distance in Å.
Fractional positions:
Mg 0.5000 0.5000 0.5000  4 W 3.05, 8 O 3.20
O 0.0000 0.0000 0.5000  2 Cl 2.16
O 0.5000 0.0000 0.0000  2 Cl 2.16
W 0.0000 0.5000 0.0000  2 Cl 2.36
Cl 0.0000 0.0000 0.0000  4 O 2.16, 2 W 2.36